Cu2RuPt PBE optimized geometry; total DFT energy (no corrections) = -5.68 eV/atom; space group = Cmm2, No. 35
1.0
2.643 -0.205 0.000
-1.078 2.422 0.000
0.000 0.000 9.001
Cu Pt Ru
2 1 1
Cartesian
0.000 0.000 0.072
0.783 1.109 2.151
0.000 0.000 4.421
0.783 1.109 6.857